(1)
VASP calculation (PBE) on a relaxed HoTmCd17 crystal.

Cell: 7.6592 7.6592 7.6592 Å, 81.72 81.72 81.72°
With the nearest neighbours (Å) after each atom.
Fractional coordinates of all 19 atoms:
Cd (0.6903, 0.3066, 0.0016)  8 Cd 2.91-3.25
Cd (0.9094, 0.9094, 0.9094)  4 Cd 2.85-2.87
Cd (0.5312, 0.9721, 0.9721)  7 Cd 2.85-3.04
Cd (0.9721, 0.9721, 0.5312)  7 Cd 2.85-3.04
Cd (0.0016, 0.6903, 0.3066)  8 Cd 2.91-3.25
Cd (0.6903, 0.0016, 0.3066)  8 Cd 2.91-3.25
Cd (0.6136, 0.2348, 0.6136)  4 Cd 2.85-3.09
Cd (0.3066, 0.0016, 0.6903)  8 Cd 2.91-3.25
Cd (0.8859, 0.3387, 0.3387)  7 Cd 2.85-3.01
Cd (0.3387, 0.3387, 0.8859)  7 Cd 2.85-3.01
Cd (0.0016, 0.3066, 0.6903)  8 Cd 2.91-3.25
Cd (0.6136, 0.6136, 0.2348)  4 Cd 2.85-3.09
Cd (0.9721, 0.5312, 0.9721)  7 Cd 2.85-3.04
Cd (0.3066, 0.6903, 0.0016)  8 Cd 2.91-3.25
Cd (0.2348, 0.6136, 0.6136)  4 Cd 2.85-3.09
Cd (0.3387, 0.8859, 0.3387)  7 Cd 2.85-3.01
Cd (0.0998, 0.0998, 0.0998)  4 Cd 2.87-2.93
Tm (0.3200, 0.3200, 0.3200)  13 Cd 3.29-3.46
Ho (0.6731, 0.6731, 0.6731)  13 Cd 3.43-3.56

Output
Magnetization   0.00 μB per cell
Electronic total energy   -0.101 Ry per atom

---

(2)
VASP calculation (PBE) on a relaxed Ho4Tm5Cd crystal.

Cell: 5.6278 7.9440 7.9440 Å, 82.79 69.25 69.25°
With the nearest neighbours (Å) after each atom.
Fractional coordinates of all 10 atoms:
Tm (0.7708, 0.0000, 0.3695)  1 Cd 3.02, 1 Tm 3.20, 2 Ho 3.31
Tm (0.6628, 0.0000, 0.0000)  2 Cd 2.71-2.92
Tm (0.7708, 0.3695, 0.0000)  1 Cd 3.02, 1 Tm 3.20, 2 Ho 3.31
Tm (0.1403, 0.0000, 0.6305)  1 Cd 3.02, 1 Tm 3.20, 2 Ho 3.31
Tm (0.1403, 0.6305, 0.0000)  1 Cd 3.02, 1 Tm 3.20, 2 Ho 3.31
Ho (0.7823, 0.6787, 0.6788)  5 Tm 3.31-3.68
Ho (0.1398, 0.3213, 0.3212)  5 Tm 3.31-3.68
Ho (0.4611, 0.3212, 0.6787)  5 Tm 3.31-3.68
Ho (0.4611, 0.6788, 0.3213)  5 Tm 3.31-3.68
Cd (0.1810, 0.0000, 0.0000)  6 Tm 2.71-3.02

Output
Magnetization   0.00 μB per cell
Electronic total energy   -0.295 Ry per atom

---

(3)
VASP calculation (PBE) on a relaxed Ho3Tm6Cd crystal.

Cell: 6.1459 10.8220 10.8220 Å, 123.66 90.00 90.00°
With the nearest neighbours (Å) after each atom.
Fractional coordinates of all 20 atoms:
Tm (0.1590, 0.7104, 0.2896)  2 Cd 3.20-3.23, 4 Tm 3.22-3.28, 1 Ho 3.31
Tm (0.3825, 0.5702, 0.9624)  2 Cd 3.05-3.28, 3 Tm 3.22-3.33, 1 Ho 3.28
Tm (0.8825, 0.4298, 0.0376)  2 Cd 3.05-3.28, 3 Tm 3.22-3.33, 1 Ho 3.28
Tm (0.3825, 0.0376, 0.4298)  2 Cd 3.05-3.28, 3 Tm 3.22-3.33, 1 Ho 3.28
Tm (0.0532, 0.3685, 0.2909)  2 Ho 3.18-3.24, 5 Tm 3.33-3.53
Tm (0.0532, 0.7091, 0.6315)  2 Ho 3.18-3.24, 5 Tm 3.33-3.53
Tm (0.8914, 0.0555, 0.9445)  6 Tm 3.53-3.73, 6 Ho 3.68-3.85, 1 Cd 3.89
Tm (0.3914, 0.9445, 0.0555)  6 Tm 3.53-3.73, 6 Ho 3.68-3.85, 1 Cd 3.89
Tm (0.5532, 0.2909, 0.3685)  2 Ho 3.18-3.24, 5 Tm 3.33-3.53
Tm (0.6590, 0.2896, 0.7104)  2 Cd 3.20-3.23, 4 Tm 3.22-3.28, 1 Ho 3.31
Tm (0.8825, 0.9624, 0.5702)  2 Cd 3.05-3.28, 3 Tm 3.22-3.33, 1 Ho 3.28
Tm (0.5532, 0.6315, 0.7091)  2 Ho 3.18-3.24, 5 Tm 3.33-3.53
Cd (0.1611, 0.2398, 0.7602)  3 Ho 3.01-3.19, 6 Tm 3.05-3.28
Cd (0.6611, 0.7602, 0.2398)  3 Ho 3.01-3.19, 6 Tm 3.05-3.28
Ho (0.5841, 0.6043, 0.3957)  1 Cd 3.01, 3 Tm 3.24-3.31
Ho (0.9092, 0.7059, 0.9548)  2 Tm 3.18-3.28, 1 Cd 3.19, 2 Ho 3.47-3.56
Ho (0.4092, 0.9548, 0.7059)  2 Tm 3.18-3.28, 1 Cd 3.19, 2 Ho 3.47-3.56
Ho (0.4092, 0.2941, 0.0452)  2 Tm 3.18-3.28, 1 Cd 3.19, 2 Ho 3.47-3.56
Ho (0.0841, 0.3957, 0.6043)  1 Cd 3.01, 3 Tm 3.24-3.31
Ho (0.9092, 0.0452, 0.2941)  2 Tm 3.18-3.28, 1 Cd 3.19, 2 Ho 3.47-3.56

Output
Magnetization   0.00 μB per cell
Electronic total energy   -0.300 Ry per atom

---

(4)
VASP calculation (PBE) on a relaxed HoTm3Cd crystal.

Cell: 3.5787 6.6397 12.5227 Å, 85.97 90.01 74.37°
With the nearest neighbours (Å) after each atom.
Fractional coordinates of all 10 atoms:
Tm (0.6346, 0.7306, 0.9804)  9 Tm 3.41-3.58, 3 Ho 3.58-3.63
Tm (0.0335, 0.9329, 0.1883)  2 Cd 3.23, 7 Tm 3.41-3.58, 3 Ho 3.49-3.54
Tm (0.3654, 0.2694, 0.0196)  9 Tm 3.41-3.58, 3 Ho 3.58-3.63
Tm (0.1460, 0.7081, 0.4443)  4 Cd 3.16-3.25, 3 Tm 3.42, 2 Ho 3.53
Tm (0.9665, 0.0671, 0.8117)  2 Cd 3.23, 7 Tm 3.41-3.58, 3 Ho 3.49-3.54
Tm (0.8540, 0.2919, 0.5557)  4 Cd 3.16-3.25, 3 Tm 3.42, 2 Ho 3.53
Ho (0.2338, 0.5320, 0.7568)  2 Cd 3.21, 6 Tm 3.49-3.58, 2 Ho 3.58
Ho (0.7662, 0.4680, 0.2432)  2 Cd 3.21, 6 Tm 3.49-3.58, 2 Ho 3.58
Cd (0.4404, 0.1197, 0.3737)  6 Tm 3.16-3.25, 2 Ho 3.21, 1 Cd 3.41
Cd (0.5596, 0.8803, 0.6263)  6 Tm 3.16-3.25, 2 Ho 3.21, 1 Cd 3.41

Output
Magnetization   0.82 μB per cell
Energy above the lowest structure with this stoichiometry   0.000 eV per atom
Electronic total energy   -0.286 Ry per atom

---

(5)
VASP calculation (PBE) on a relaxed Ho2TmCd crystal.

Cell: 3.5158 3.5158 11.0033 Å, 80.81 80.81 60.00°
With the nearest neighbours (Å) after each atom.
Fractional coordinates of all 4 atoms:
Ho (0.2459, 0.2459, 0.2623)  3 Cd 3.28, 3 Tm 3.49, 6 Ho 3.52
Ho (0.0872, 0.0872, 0.7383)  3 Cd 3.28, 3 Tm 3.48, 6 Ho 3.52
Tm (0.6669, 0.6669, 0.9993)  6 Ho 3.48-3.49, 6 Tm 3.52
Cd (0.5000, 0.5000, 0.5000)  6 Ho 3.28, 6 Cd 3.52

Output
Magnetization   0.00 μB per cell
Energy above the lowest structure with this stoichiometry   0.107 eV per atom
Electronic total energy   -0.270 Ry per atom

---

(6)
VASP calculation (PBE) on a relaxed Ho9Tm4Cd11 crystal.

Cell: 3.4836 13.7781 13.7781 Å, 108.32 90.00 90.00°
With the nearest neighbours (Å) after each atom.
Fractional coordinates of all 24 atoms:
Ho (0.5000, 0.0200, 0.2054)  8 Cd 3.18-3.26, 2 Ho 3.48
Ho (0.5000, 0.3811, 0.8445)  8 Cd 3.21-3.42, 1 Tm 3.42, 2 Ho 3.48
Ho (0.5000, 0.6189, 0.1555)  8 Cd 3.21-3.42, 1 Tm 3.42, 2 Ho 3.48
Ho (0.5000, 0.8445, 0.3811)  8 Cd 3.21-3.42, 1 Tm 3.42, 2 Ho 3.48
Ho (0.5000, 0.2054, 0.0200)  8 Cd 3.18-3.26, 2 Ho 3.48
Ho (0.5000, 0.7946, 0.9800)  8 Cd 3.18-3.26, 2 Ho 3.48
Ho (0.5000, 0.1555, 0.6189)  8 Cd 3.21-3.42, 1 Tm 3.42, 2 Ho 3.48
Ho (0.5000, 0.9800, 0.7946)  8 Cd 3.18-3.26, 2 Ho 3.48
Ho (0.5000, 0.5000, 0.5000)  4 Tm 3.27, 4 Cd 3.35, 2 Ho 3.48
Cd (0.0000, 0.5876, 0.9484)  3 Cd 3.16-3.48, 2 Tm 3.23, 6 Ho 3.25-3.26
Cd (0.0000, 0.0000, 0.0000)  8 Ho 3.26, 4 Cd 3.48-3.50
Cd (0.0000, 0.3717, 0.6283)  4 Tm 3.35, 6 Ho 3.35-3.42, 2 Cd 3.48
Cd (0.0000, 0.1793, 0.8207)  8 Ho 3.18-3.21, 2 Cd 3.48
Cd (0.0000, 0.9484, 0.5876)  3 Cd 3.16-3.48, 2 Tm 3.23, 6 Ho 3.25-3.26
Cd (0.0000, 0.7834, 0.7834)  4 Tm 3.18, 4 Ho 3.18, 3 Cd 3.48-3.50
Cd (0.0000, 0.4124, 0.0516)  3 Cd 3.16-3.48, 2 Tm 3.23, 6 Ho 3.25-3.26
Cd (0.0000, 0.8207, 0.1793)  8 Ho 3.18-3.21, 2 Cd 3.48
Cd (0.0000, 0.6283, 0.3717)  4 Tm 3.35, 6 Ho 3.35-3.42, 2 Cd 3.48
Cd (0.0000, 0.2166, 0.2166)  4 Tm 3.18, 4 Ho 3.18, 3 Cd 3.48-3.50
Cd (0.0000, 0.0516, 0.4124)  3 Cd 3.16-3.48, 2 Tm 3.23, 6 Ho 3.25-3.26
Tm (0.5000, 0.5826, 0.7499)  6 Cd 3.18-3.35, 2 Ho 3.27-3.42, 2 Tm 3.48
Tm (0.5000, 0.7499, 0.5826)  6 Cd 3.18-3.35, 2 Ho 3.27-3.42, 2 Tm 3.48
Tm (0.5000, 0.2501, 0.4174)  6 Cd 3.18-3.35, 2 Ho 3.27-3.42, 2 Tm 3.48
Tm (0.5000, 0.4174, 0.2501)  6 Cd 3.18-3.35, 2 Ho 3.27-3.42, 2 Tm 3.48

Output
Magnetization   0.15 μB per cell
Electronic total energy   -0.228 Ry per atom

---

(7)
VASP calculation (PBE) on a relaxed Ho3Tm2Cd6 crystal.

Cell: 4.9153 4.9153 14.2723 Å, 99.92 99.92 90.00°
With the nearest neighbours (Å) after each atom.
Fractional coordinates of all 11 atoms:
Ho (0.1396, 0.1396, 0.2792)  5 Cd 3.16-3.19, 4 Tm 3.48
Ho (0.0000, 0.0000, 0.0000)  8 Cd 3.07
Ho (0.8604, 0.8604, 0.7208)  5 Cd 3.16-3.19, 4 Tm 3.48
Cd (0.2538, 0.2538, 0.5077)  1 Tm 3.12, 1 Ho 3.16, 4 Cd 3.48
Cd (0.0663, 0.5663, 0.1325)  4 Ho 3.07-3.19, 2 Tm 3.08
Cd (0.7462, 0.7462, 0.4923)  1 Tm 3.12, 1 Ho 3.16, 4 Cd 3.48
Cd (0.5663, 0.0663, 0.1325)  4 Ho 3.07-3.19, 2 Tm 3.08
Cd (0.9337, 0.4337, 0.8675)  4 Ho 3.07-3.19, 2 Tm 3.08
Cd (0.4337, 0.9337, 0.8675)  4 Ho 3.07-3.19, 2 Tm 3.08
Tm (0.3665, 0.3665, 0.7330)  5 Cd 3.08-3.12
Tm (0.6335, 0.6335, 0.2670)  5 Cd 3.08-3.12

Output
Magnetization   0.00 μB per cell
Electronic total energy   -0.179 Ry per atom

---

(8)
VASP calculation (PBE) on a relaxed Ho6TmCd5 crystal.

Cell: 5.2257 7.7128 9.2173 Å, 114.73 106.47 90.00°
With the nearest neighbours (Å) after each atom.
Fractional coordinates of all 12 atoms:
Cd (0.0000, 0.5000, 0.0000)  8 Ho 3.17-3.31
Cd (0.6685, 0.6685, 0.3370)  8 Ho 3.23
Cd (0.3471, 0.8471, 0.6943)  8 Ho 3.19-3.39, 2 Tm 3.57
Cd (0.3315, 0.3315, 0.6630)  8 Ho 3.23
Cd (0.6529, 0.1529, 0.3057)  8 Ho 3.19-3.39, 2 Tm 3.57
Ho (0.5000, 0.7327, 0.0000)  6 Cd 3.17-3.23, 2 Tm 3.33
Ho (0.5000, 0.2673, 0.0000)  6 Cd 3.17-3.23, 2 Tm 3.33
Ho (0.8294, 0.5747, 0.6588)  7 Cd 3.23-3.39, 1 Tm 3.35
Ho (0.8294, 0.0841, 0.6588)  7 Cd 3.23-3.39, 1 Tm 3.35
Ho (0.1706, 0.9159, 0.3412)  7 Cd 3.23-3.39, 1 Tm 3.35
Ho (0.1706, 0.4253, 0.3412)  7 Cd 3.23-3.39, 1 Tm 3.35
Tm (0.0000, 0.0000, 0.0000)  8 Ho 3.33-3.35, 4 Cd 3.57

Output
Magnetization   0.00 μB per cell
Electronic total energy   -0.239 Ry per atom

---

(9)
VASP calculation (PBE) on a relaxed Ho3TmCd6 crystal.

Cell: 5.1268 9.1273 10.9764 Å, 105.46 90.00 90.00°
With the nearest neighbours (Å) after each atom.
Fractional coordinates of all 20 atoms:
Cd (0.7500, 0.5495, 0.9058)  7 Ho 3.17-3.24, 1 Cd 3.25
Cd (0.2500, 0.8528, 0.3061)  3 Tm 3.15, 4 Ho 3.18-3.33, 1 Cd 3.23
Cd (0.2500, 0.6611, 0.7060)  1 Tm 3.09, 5 Ho 3.13-3.31, 2 Cd 3.15
Cd (0.7500, 0.1472, 0.6939)  3 Tm 3.15, 4 Ho 3.18-3.33, 1 Cd 3.23
Cd (0.7500, 0.8556, 0.8085)  8 Cd 3.12-3.25
Cd (0.2500, 0.4505, 0.0942)  7 Ho 3.17-3.24, 1 Cd 3.25
Cd (0.7500, 0.9491, 0.1043)  1 Tm 3.09, 3 Cd 3.12-3.13, 4 Ho 3.13-3.23
Cd (0.2500, 0.0509, 0.8957)  1 Tm 3.09, 3 Cd 3.12-3.13, 4 Ho 3.13-3.23
Cd (0.7500, 0.7609, 0.5055)  3 Tm 3.10-3.21, 4 Ho 3.14-3.33, 1 Cd 3.21
Cd (0.2500, 0.2391, 0.4945)  3 Tm 3.10-3.21, 4 Ho 3.14-3.33, 1 Cd 3.21
Cd (0.2500, 0.1444, 0.1915)  8 Cd 3.12-3.25
Cd (0.7500, 0.3389, 0.2940)  1 Tm 3.09, 5 Ho 3.13-3.31, 2 Cd 3.15
Ho (0.7500, 0.2404, 0.9983)  8 Cd 3.13-3.24
Ho (0.7500, 0.4691, 0.6062)  8 Cd 3.13-3.33
Ho (0.2500, 0.5309, 0.3938)  8 Cd 3.13-3.33
Ho (0.7500, 0.6497, 0.2086)  8 Cd 3.14-3.23
Ho (0.2500, 0.7596, 0.0017)  8 Cd 3.13-3.24
Ho (0.2500, 0.3503, 0.7914)  8 Cd 3.14-3.23
Tm (0.2500, 0.9461, 0.6042)  8 Cd 3.09-3.21
Tm (0.7500, 0.0539, 0.3958)  8 Cd 3.09-3.21

Output
Magnetization   0.00 μB per cell
Electronic total energy   -0.195 Ry per atom

---

(10)
VASP calculation (PBE) on a relaxed HoTm2Cd2 crystal.

Cell: 4.8366 4.8366 12.8211 Å, 100.87 100.87 90.00°
With the nearest neighbours (Å) after each atom.
Fractional coordinates of all 10 atoms:
Cd (0.2500, 0.7500, 0.5000)  4 Tm 2.96
Cd (0.9299, 0.9299, 0.8597)  5 Tm 2.74-2.98
Cd (0.7500, 0.2500, 0.5000)  4 Tm 2.96
Cd (0.0701, 0.0701, 0.1403)  5 Tm 2.74-2.98
Tm (0.5000, 0.0000, 0.0000)  4 Cd 2.98
Tm (0.0000, 0.5000, 0.0000)  4 Cd 2.98
Tm (0.8190, 0.8190, 0.6381)  5 Cd 2.74-2.96
Tm (0.1810, 0.1810, 0.3619)  5 Cd 2.74-2.96
Ho (0.6222, 0.6222, 0.2443)  8 Cd 3.65-3.98, 8 Tm 3.72-3.87
Ho (0.3778, 0.3778, 0.7557)  8 Cd 3.65-3.98, 8 Tm 3.72-3.87

Output
Magnetization   0.00 μB per cell
Energy above the lowest structure with this stoichiometry   0.290 eV per atom
Electronic total energy   -0.223 Ry per atom